1.
This record from Alexandria describes crystalline TePt at its relaxed geometry. The functional is GGA-PBE.

Cell: 3.0551 5.2398 10.3498 Å, 90.00 90.00 90.00°
Closest atoms and distances in Å follow each position.
Space group Imma (No. 74)
One atom of each set of equivalent atoms:
Te 0.0000 0.2500 0.1011 (multiplicity 4)  6 Pt 2.85-3.05, 2 Te 3.06
Pt 0.0000 0.2500 0.6313 (multiplicity 4)  6 Te 2.85-3.05, 4 Pt 2.89-3.06

Values from the calculation:
Crystal system: orthorhombic
Raw formation energy in eV per atom: 0.16

2.
This record from Alexandria describes crystalline Tl2TcW at its relaxed geometry. The functional is GGA-PBE.

Cell: 4.2247 4.2247 8.4786 Å, 90.00 90.00 90.00°
Closest atoms and distances in Å follow each position.
Space group I-4m2 (No. 119)
One atom of each set of equivalent atoms:
Tl 0.0000 0.0000 0.0000 (multiplicity 2)  4 Tc 2.99, 4 Tl 2.99, 4 W 2.99
Tl 0.0000 0.5000 0.2500 (multiplicity 2)  4 W 2.99, 4 Tl 2.99, 4 Tc 2.99
Tc 0.0000 0.0000 0.5000 (multiplicity 2)  8 Tl 2.99, 4 W 2.99
W 0.0000 0.5000 0.7500 (multiplicity 2)  8 Tl 2.99, 4 Tc 2.99

Values from the calculation:
Crystal system: tetragonal
Distance to the lowest polymorph of the same formula in meV/atom: 629

3.
This record from Alexandria describes crystalline Pm3Sm6Dy2In at its relaxed geometry. The functional is GGA-PBE.

Cell: 6.2072 10.7852 11.8093 Å, 90.00 100.27 90.00°
Closest atoms and distances in Å follow each position.
Space group C2/m (No. 12)
One atom of each set of equivalent atoms:
Pm 0.0000 0.0000 0.0000 (multiplicity 2)  6 Pm 3.58-3.60, 6 Sm 3.62-3.63
Pm 0.0000 0.3315 0.0000 (multiplicity 4)  6 Pm 3.57-3.63, 6 Sm 3.61-3.64
Sm 0.2437 0.3367 0.7437 (multiplicity 8)  1 In 3.48, 6 Sm 3.52-3.63, 2 Dy 3.52-3.53, 3 Pm 3.62-3.64
Sm 0.2458 0.5000 0.2543 (multiplicity 4)  1 In 3.51, 6 Sm 3.52-3.63, 2 Dy 3.53, 3 Pm 3.61-3.63
Dy 0.0000 0.1660 0.5000 (multiplicity 4)  6 Sm 3.52-3.53, 3 Dy 3.58-3.59, 3 In 3.58-3.60
In 0.0000 0.5000 0.5000 (multiplicity 2)  6 Sm 3.48-3.51, 6 Dy 3.58-3.60

Values from the calculation:
Crystal system: monoclinic
Uncorrected energy in eV per atom: -4.579

4.
This record from Alexandria describes crystalline AgTe2 at its relaxed geometry. The functional is GGA-PBE.

Cell: 4.2300 4.2300 12.2863 Å, 90.00 90.00 120.00°
Closest atoms and distances in Å follow each position.
Space group P6_3/mmc (No. 194)
One atom of each set of equivalent atoms:
Ag 0.3333 0.6667 0.2500 (multiplicity 2)  6 Te 2.91
Te 0.0000 0.0000 0.1209 (multiplicity 4)  3 Ag 2.91, 2 Te 2.97-3.17

Values from the calculation:
Crystal system: hexagonal
Raw formation energy in eV per atom: 0.07

5.
This record from Alexandria describes crystalline Sr2AsRhN at its relaxed geometry. The functional is GGA-PBE.

Cell: 5.4766 5.4766 3.7870 Å, 90.00 90.00 90.00°
Closest atoms and distances in Å follow each position.
Space group P4/mmm (No. 123)
One atom of each set of equivalent atoms:
Sr 0.0000 0.5000 0.0000 (multiplicity 2)  2 N 2.74
As 0.0000 0.0000 0.5000 (multiplicity 1)  8 Sr 3.33
Rh 0.5000 0.5000 0.5000 (multiplicity 1)  2 N 1.89
N 0.5000 0.5000 0.0000 (multiplicity 1)  2 Rh 1.89

Values from the calculation:
Crystal system: tetragonal
Raw formation energy in eV per atom: -0.67

6.
This record from Alexandria describes crystalline MgTc2Te at its relaxed geometry. The functional is GGA-PBE.

Cell: 3.2488 3.2488 6.4232 Å, 90.00 90.00 90.00°
Closest atoms and distances in Å follow each position.
Space group P4/mmm (No. 123)
One atom of each set of equivalent atoms:
Mg 0.0000 0.0000 0.0000 (multiplicity 1)  8 Tc 2.86
Tc 0.5000 0.5000 0.2653 (multiplicity 2)  4 Te 2.75, 4 Mg 2.86, 1 Tc 3.01
Te 0.0000 0.0000 0.5000 (multiplicity 1)  8 Tc 2.75

Values from the calculation:
Crystal system: tetragonal
Distance to the lowest polymorph of the same formula in meV/atom: 205
Raw formation energy in eV per atom: 0.34